Below is crystalline CsMnO3 at its relaxed geometry, with properties calculated at the PBE+U level.

Values from the calculation:
**Space-group type**: Pm-3m (221)
**Total energy**: -20.4 eV/cell

a = 4.422 Å, b = 4.422 Å, c = 4.422 Å
α = 90.00°, β = 90.00°, γ = 90.00°
Site moments in Bohr magnetons follow the coordinates.
Fractional positions:
Cs (0.000, 0.000, 0.000)  -0.01
Mn (0.500, 0.500, 0.500)  4.79
O (0.000, 0.500, 0.000)  0.00
O (0.000, 0.000, 0.500)  -0.01
O (0.500, 0.000, 0.000)  0.01